(1)
The following is a DFT calculation (GGA-PBE) of a geometry-optimized Tl3BiPb2S6 structure.

Cell lengths 7.247, 7.247, 7.428 Å; angles 99.38, 99.38, 119.87 degrees
Element x y z (fractional)
Pb (0.334, 0.666, 0.000)
Pb (0.666, 0.334, 0.000)
Tl (0.833, 0.167, 0.500)
Tl (0.500, 0.500, 0.500)
Tl (0.167, 0.833, 0.500)
Bi (0.000, 0.000, 0.000)
S (0.923, 0.599, 0.770)
S (0.401, 0.077, 0.230)
S (0.599, 0.923, 0.770)
S (0.754, 0.754, 0.233)
S (0.077, 0.401, 0.230)
S (0.246, 0.246, 0.767)

=====

(2)
The following is a DFT calculation (GGA-PBE) of a geometry-optimized Tl2BiPbS4 structure.

Cell lengths 4.174, 7.481, 7.278 Å; angles 71.16, 90.00, 90.00 degrees
Element x y z (fractional)
S (0.000, 0.269, 0.253)
S (0.500, 0.276, 0.732)
S (0.500, 0.724, 0.268)
S (0.000, 0.731, 0.747)
Tl (0.000, 0.000, 0.000)
Tl (0.500, 0.000, 0.500)
Bi (0.000, 0.500, 0.500)
Pb (0.500, 0.500, 0.000)

=====

(3)
The following is a DFT calculation (GGA-PBE) of a geometry-optimized TlBiPb2S4 structure.

Cell lengths 5.980, 5.980, 7.348 Å; angles 114.01, 114.01, 90.00 degrees
Element x y z (fractional)
S (0.243, 0.243, 0.486)
S (0.516, 0.016, 0.032)
S (0.984, 0.484, 0.968)
S (0.757, 0.757, 0.514)
Tl (0.500, 0.500, 0.000)
Bi (0.750, 0.250, 0.500)
Pb (0.000, 0.000, 0.000)
Pb (0.250, 0.750, 0.500)

=====

(4)
The following is a DFT calculation (GGA-PBE) of a geometry-optimized TlBiPbS3 structure.

Cell lengths 4.171, 10.260, 7.764 Å; angles 92.86, 90.00, 90.00 degrees
Element x y z (fractional)
Tl (0.750, 0.666, 0.580)
Tl (0.250, 0.334, 0.420)
Pb (0.750, 0.995, 0.249)
Pb (0.250, 0.005, 0.751)
S (0.750, 0.510, 0.212)
S (0.250, 0.174, 0.055)
S (0.250, 0.490, 0.788)
S (0.750, 0.826, 0.945)
S (0.750, 0.160, 0.617)
S (0.250, 0.840, 0.383)
Bi (0.250, 0.667, 0.082)
Bi (0.750, 0.333, 0.918)

=====

Summary of DFT total energy in eV/atom
-3.95; -3.97; -4.15; -4.17
(order as listed above)